Crystalline GeSbH2W at its relaxed geometry. Source: the Alexandria database, functional GGA-PBE.

a b c (Å): 3.664 5.731 3.664
angles (deg): 90.00 90.00 90.00
Fractional coordinates of all 5 atoms:
Ge  0.500  0.500  0.500
H  0.000  0.000  0.500
H  0.500  0.000  0.000
Sb  0.000  0.000  0.000
W  0.000  0.500  0.000

The value obtained for the size of the total moment is 0.112 μB/atom. The calculation puts the total energy at -5.051 eV per atom. The density of states at the Fermi level comes out at 0.317 states/eV per atom. As for the calculated volume: 15.4 A^3/atom.

Crystalline MnAl3Zn at its relaxed geometry. Source: the Alexandria database, functional GGA-PBE.

a b c (Å): 4.539 4.539 4.539
angles (deg): 90.00 90.00 90.00
Fractional coordinates of all 5 atoms:
Al  0.000  0.500  0.000
Al  0.000  0.000  0.500
Al  0.500  0.000  0.000
Zn  0.500  0.500  0.500
Mn  0.000  0.000  0.000

Its energy above the most stable polymorph in this dataset is 2.00 eV/f.u. The value obtained for the size of the total moment is 0.001 μB/atom. The density of states at the Fermi level comes out at 0.876 states/eV per atom. As for the calculated volume: 18.7 A^3/atom.

Crystalline Pa8Ga2Ru at its relaxed geometry. Source: the Alexandria database, functional GGA-PBE.

a b c (Å): 5.312 7.463 7.734
angles (deg): 117.14 110.09 90.00
Fractional coordinates of all 11 atoms:
Ga  0.200  0.639  0.399
Ga  0.800  0.361  0.601
Pa  0.335  0.091  0.670
Pa  0.596  0.423  0.191
Pa  0.848  0.797  0.695
Pa  0.152  0.203  0.305
Pa  0.404  0.577  0.809
Pa  0.665  0.909  0.330
Pa  0.964  0.228  0.928
Pa  0.036  0.772  0.072
Ru  0.500  0.000  0.000

The value obtained for the size of the total moment is 0.000 μB/atom. The calculation puts the total energy at -8.410 eV per atom. The density of states at the Fermi level comes out at 1.660 states/eV per atom. As for the calculated volume: 22.9 A^3/atom.

Crystalline Pr3HfTl3S8 at its relaxed geometry. Source: the Alexandria database, functional GGA-PBE.

a b c (Å): 8.199 8.199 8.931
angles (deg): 117.34 90.00 120.00
Fractional coordinates of all 15 atoms:
S  0.216  0.977  0.693
S  0.784  0.569  0.307
S  0.762  0.977  0.693
S  0.736  0.472  0.707
S  0.216  0.431  0.693
S  0.784  0.023  0.307
S  0.264  0.528  0.293
S  0.238  0.023  0.307
Hf  0.000  0.000  0.500
Pr  0.500  0.500  0.500
Pr  0.000  0.500  0.500
Pr  0.500  0.000  0.500
Tl  0.000  0.000  0.000
Tl  0.000  0.500  0.000
Tl  0.500  0.500  0.000

The value obtained for the size of the total moment is 0.000 μB/atom. As for the calculated volume: 29.4 A^3/atom. The value obtained for the formation energy from raw total energies is -22.0 eV/f.u.

Crystalline CsInN2 at its relaxed geometry. Source: the Alexandria database, functional GGA-PBE.

a b c (Å): 7.407 7.407 7.407
angles (deg): 28.24 28.24 28.24
Fractional coordinates of all 4 atoms:
N  0.882  0.882  0.882
N  0.118  0.118  0.118
In  0.500  0.500  0.500
Cs  0.000  0.000  0.000

The value obtained for the size of the total moment is 0.087 μB/atom. The density of states at the Fermi level comes out at 0.665 states/eV per atom. As for the calculated volume: 20.1 A^3/atom. The value obtained for the formation energy from raw total energies is 4.3 eV/f.u.

Crystalline NaPrIn2 at its relaxed geometry. Source: the Alexandria database, functional GGA-PBE.

a b c (Å): 5.410 5.410 5.410
angles (deg): 60.00 60.00 60.00
Fractional coordinates of all 4 atoms:
In  0.250  0.250  0.250
In  0.750  0.750  0.750
Pr  0.000  0.000  0.000
Na  0.500  0.500  0.500

Its energy above the most stable polymorph in this dataset is 0.05 eV/f.u. The value obtained for the size of the total moment is 0.000 μB/atom. The density of states at the Fermi level comes out at 0.413 states/eV per atom. As for the calculated volume: 28.0 A^3/atom.

Repeat the third record exactly.
Crystalline Pa8Ga2Ru at its relaxed geometry. Source: the Alexandria database, functional GGA-PBE.

a b c (Å): 5.312 7.463 7.734
angles (deg): 117.14 110.09 90.00
Fractional coordinates of all 11 atoms:
Ga  0.200  0.639  0.399
Ga  0.800  0.361  0.601
Pa  0.335  0.091  0.670
Pa  0.596  0.423  0.191
Pa  0.848  0.797  0.695
Pa  0.152  0.203  0.305
Pa  0.404  0.577  0.809
Pa  0.665  0.909  0.330
Pa  0.964  0.228  0.928
Pa  0.036  0.772  0.072
Ru  0.500  0.000  0.000

The value obtained for the size of the total moment is 0.000 μB/atom. The calculation puts the total energy at -8.410 eV per atom. The density of states at the Fermi level comes out at 1.660 states/eV per atom. As for the calculated volume: 22.9 A^3/atom.

Question: calculated volume of number 5 (CsInN2)?
Answer: 20.1 A^3/atom

Question: What is the calculated volume in the fifth record?
Answer: 20.1 A^3/atom